[1]
## BaSrPdPb2 (GGA-PBE)

Data for a relaxed BaSrPdPb2 crystal.

The calculation puts the density at 7.09 g/cm3. The uncorrected energy comes out at -3.5999 eV/atom. The value obtained for the calculated volume is 34.93 A^3/atom.

The space group is P4/mmm (No. 123) and the conventional cell measures 5.596, 5.596 and 5.577 Å, with angles of 90.00, 90.00 and 90.00 degrees. Symmetry generates all atoms from Ba at (0.000, 0.000, 0.000), Sr at (0.500, 0.500, 0.000), Pd at (0.500, 0.500, 0.500) and Pb at (0.000, 0.500, 0.500).

---

[2]
## Ga2AsH2 (GGA-PBE)

Data for a relaxed Ga2AsH2 crystal.

The calculation puts the density at 5.49 g/cm3. The uncorrected energy comes out at -3.0417 eV/atom. The value obtained for the calculated volume is 13.08 A^3/atom.

The space group is I4/mmm (No. 139) and the conventional cell measures 4.104, 4.104 and 7.766 Å, with angles of 90.00, 90.00 and 90.00 degrees. Symmetry generates all atoms from Ga at (0.000, 0.500, 0.250), As at (0.000, 0.000, 0.000) and H at (0.000, 0.000, 0.338).

---

[3]
## CoNiP3 (GGA-PBE)

Data for a relaxed CoNiP3 crystal.

The calculation puts the density at 4.43 g/cm3. The uncorrected energy comes out at -5.1105 eV/atom. The value obtained for the calculated volume is 15.77 A^3/atom.

The space group is Pm-3m (No. 221) and the conventional cell measures 4.288, 4.288 and 4.288 Å, with angles of 90.00, 90.00 and 90.00 degrees. Symmetry generates all atoms from Co at (0.000, 0.000, 0.000), Ni at (0.500, 0.500, 0.500) and P at (0.000, 0.000, 0.500).

---

[4]
## Li12Ag2Pd (GGA-PBE)

Data for a relaxed Li12Ag2Pd crystal.

The calculation puts the density at 2.38 g/cm3. The uncorrected energy comes out at -2.2137 eV/atom. The value obtained for the calculated volume is 18.88 A^3/atom.

The space group is P4/nbm (No. 125, origin choice 2) and the conventional cell measures 5.352, 5.352 and 19.775 Å, with angles of 90.00, 90.00 and 90.00 degrees. Symmetry generates all atoms from Li at (0.000, 0.000, 0.083), Li at (0.065, 0.565, 0.436), Li at (0.250, 0.250, 0.195), Li at (0.250, 0.250, 0.322), Ag at (0.250, 0.750, 0.246) and Pd at (0.250, 0.750, 0.000).

---

[5]
## Na3B2O4F2 (GGA-PBE)

Data for a relaxed Na3B2O4F2 crystal.

The calculation puts the density at 3.14 g/cm3. The uncorrected energy comes out at -5.3445 eV/atom. The value obtained for the calculated volume is 9.26 A^3/atom.

The space group is I4/mmm (No. 139) and the conventional cell measures 3.210, 3.210 and 19.784 Å, with angles of 90.00, 90.00 and 90.00 degrees. Symmetry generates all atoms from Na at (0.000, 0.000, 0.000), Na at (0.000, 0.000, 0.183), B at (0.000, 0.000, 0.397), O at (0.000, 0.500, 0.090) and F at (0.000, 0.000, 0.307).

---

[6]
## PmTmTiN3 (GGA-PBE)

Data for a relaxed PmTmTiN3 crystal.

The calculation puts the density at 7.01 g/cm3. The uncorrected energy comes out at -8.3658 eV/atom. The value obtained for the calculated volume is 15.95 A^3/atom.

The space group is P2_1/m (No. 11) and the conventional cell measures 7.124, 3.518 and 7.725 Å, with angles of 90.00, 98.73 and 90.00 degrees. Symmetry generates all atoms from Pm at (0.172, 0.250, 0.173), Tm at (0.365, 0.750, 0.848), Ti at (0.105, 0.250, 0.598), N at (0.115, 0.250, 0.851), N at (0.176, 0.750, 0.516) and N at (0.408, 0.750, 0.140).

---

[7]
## Rb3PbO3 (GGA-PBE)

Data for a relaxed Rb3PbO3 crystal.

The calculation puts the density at 4.96 g/cm3. The uncorrected energy comes out at -4.1895 eV/atom. The value obtained for the calculated volume is 24.49 A^3/atom.

The space group is C2/m (No. 12) and the conventional cell measures 7.841, 12.301 and 7.173 Å, with angles of 90.00, 97.71 and 90.00 degrees. Symmetry generates all atoms from Rb at (0.000, 0.193, 0.000), Rb at (0.000, 0.254, 0.500), Rb at (0.151, 0.500, 0.866), Pb at (0.207, 0.000, 0.626), O at (0.061, 0.000, 0.307) and O at (0.193, 0.355, 0.221).

---

[8]
## GaNiIrC (GGA-PBE)

Data for a relaxed GaNiIrC crystal.

The calculation puts the density at 10.08 g/cm3. The uncorrected energy comes out at -6.5305 eV/atom. The value obtained for the calculated volume is 13.70 A^3/atom.

The space group is Pmmm (No. 47) and the conventional cell measures 3.712, 3.743 and 3.946 Å, with angles of 90.00, 90.00 and 90.00 degrees. Symmetry generates all atoms from Ga at (0.000, 0.000, 0.000), Ni at (0.500, 0.000, 0.500), Ir at (0.500, 0.500, 0.000) and C at (0.500, 0.500, 0.500).

---

[9]
## Pm4Nd3Ho2 (GGA-PBE)

Data for a relaxed Pm4Nd3Ho2 crystal.

The calculation puts the density at 7.31 g/cm3. The uncorrected energy comes out at -4.7034 eV/atom. The value obtained for the calculated volume is 33.89 A^3/atom.

The space group is P-1 (No. 2) and the conventional cell measures 6.286, 6.289 and 9.611 Å, with angles of 70.92, 71.06 and 60.07 degrees. Symmetry generates all atoms from Pm at (0.111, 0.446, 0.166), Pm at (0.334, 0.331, 0.500), Nd at (0.000, 0.000, 0.500), Nd at (0.444, 0.779, 0.165) and Ho at (0.221, 0.889, 0.835).

---

[10]
## Li2AgSn (GGA-PBE)

Data for a relaxed Li2AgSn crystal.

The calculation puts the density at 5.61 g/cm3. The uncorrected energy comes out at -2.9791 eV/atom. The value obtained for the calculated volume is 17.79 A^3/atom.

The space group is Pmmn (No. 59, origin choice 2) and the conventional cell measures 4.704, 6.126 and 4.938 Å, with angles of 90.00, 90.00 and 90.00 degrees. Symmetry generates all atoms from Li at (0.250, 0.003, 0.183), Ag at (0.250, 0.750, 0.680) and Sn at (0.250, 0.250, 0.679).

---

[11]
## Tb5SnS4 (GGA-PBE)

Data for a relaxed Tb5SnS4 crystal.

The calculation puts the density at 7.46 g/cm3. The uncorrected energy comes out at -6.0819 eV/atom. The value obtained for the calculated volume is 23.19 A^3/atom.

The space group is C2/m (No. 12) and the conventional cell measures 13.295, 4.028 and 9.925 Å, with angles of 90.00, 119.24 and 90.00 degrees. Symmetry generates all atoms from Tb at (0.000, 0.000, 0.000), Tb at (0.109, 0.500, 0.390), Tb at (0.203, 0.000, 0.814), Sn at (0.000, 0.000, 0.500), S at (0.096, 0.500, 0.900) and S at (0.202, 0.000, 0.290).

---

[12]
## LiCd2Pt (GGA-PBE)

Data for a relaxed LiCd2Pt crystal.

The calculation puts the density at 10.04 g/cm3. The uncorrected energy comes out at -2.7708 eV/atom. The value obtained for the calculated volume is 17.65 A^3/atom.

The space group is Pm (No. 6) and the conventional cell measures 2.936, 4.505 and 5.481 Å, with angles of 90.00, 103.14 and 90.00 degrees. Symmetry generates all atoms from Li at (0.000, 0.000, 0.000), Cd at (0.383, 0.500, 0.783), Cd at (0.687, 0.000, 0.456) and Pt at (0.085, 0.500, 0.246).